Entry 1:
K2SiPtS | PBE | optimized geometry

```
K2SiPtS
1.0
6.420 0.000 0.000
0.000 6.420 0.000
0.000 0.000 4.285
K Si Pt S
2 1 1 1
direct
0.000 0.500 0.000
0.500 0.000 0.000
0.000 0.000 0.000
0.500 0.500 0.500
0.000 0.000 0.500
```

Final energy in eV/atom: -3.099
Crystal system: tetragonal

Entry 2:
KSiPtS2 | PBE | optimized geometry

```
KSiPtS2
1.0
4.815 0.000 0.000
0.000 4.815 0.000
0.000 0.000 4.630
K Si Pt S
1 1 1 2
direct
0.000 0.000 0.000
0.500 0.500 0.500
0.500 0.500 0.000
0.000 0.500 0.500
0.500 0.000 0.500
```

Final energy in eV/atom: -4.271
Crystal system: tetragonal

Entry 3:
KTcPtS2 | PBE | optimized geometry

```
KTcPtS2
1.0
5.224 0.000 0.000
0.000 5.224 0.000
0.000 0.000 5.103
K Tc Pt S
1 1 1 2
direct
0.000 0.000 0.000
0.000 0.000 0.500
0.500 0.500 0.500
0.000 0.500 0.000
0.500 0.000 0.000
```

Final energy in eV/atom: -2.867
Crystal system: tetragonal

Entry 4:
K2TePtS | PBE | optimized geometry

```
K2TePtS
1.0
6.271 0.000 0.000
0.000 6.271 0.000
0.000 0.000 4.874
K Te Pt S
2 1 1 1
direct
0.000 0.500 0.000
0.500 0.000 0.000
0.000 0.000 0.500
0.000 0.000 0.000
0.500 0.500 0.500
```

Final energy in eV/atom: -3.303
Crystal system: tetragonal

Entry 5:
KTiPt2S | PBE | optimized geometry

```
KTiPt2S
1.0
4.925 0.000 0.000
0.000 4.925 0.000
0.000 0.000 4.862
K Ti Pt S
1 1 2 1
direct
0.000 0.000 0.000
0.000 0.000 0.500
0.000 0.500 0.000
0.500 0.000 0.000
0.500 0.500 0.500
```

Final energy in eV/atom: -2.888
Crystal system: tetragonal

Entry 6:
K2UPt2S6 | PBE | optimized geometry

```
K2UPt2S6
1.0
3.121 -5.443 0.000
3.121 5.443 0.000
-2.046 0.000 7.731
K U Pt S
2 1 2 6
direct
0.163 0.837 0.000
0.837 0.163 0.000
0.000 0.000 0.500
0.332 0.668 0.500
0.668 0.332 0.500
0.061 0.408 0.688
0.289 0.289 0.313
0.408 0.061 0.688
0.592 0.939 0.312
0.711 0.711 0.687
0.939 0.592 0.312
```

Final energy in eV/atom: -5.414
Crystal system: monoclinic

- Which value of final energy does entry 6 give?
  -5.414 eV/atom